# 1
# BaSrGe, relaxed, DFT PBE
data_BaSrGe
_cell_length_a 4.0582
_cell_length_b 7.8713
_cell_length_c 8.0841
_cell_angle_alpha 104.89
_cell_angle_beta 90.00
_cell_angle_gamma 104.89
_symmetry_space_group_name_H-M 'P -1'
_symmetry_Int_Tables_number 2
loop_
_symmetry_equiv_pos_as_xyz
'x,y,z'
'-x,-y,-z'
loop_
_atom_site_label
_atom_site_type_symbol
_atom_site_fract_x
_atom_site_fract_y
_atom_site_fract_z
Ba1 Ba 0.1193 0.2397 0.0627
Sr1 Sr 0.1226 0.2459 0.5584
Ge1 Ge 0.4967 0.9938 0.2668
# DOS(E_F): 4.6 states/eV per cell
# calculated formation energy: -7.8 kcal/mol of atoms
# E_tot: -3.08 eV per atom

***

# 2
# Ba2SrGe, relaxed, DFT PBE
data_Ba2SrGe
_cell_length_a 4.4998
_cell_length_b 4.4998
_cell_length_c 38.1843
_cell_angle_alpha 90.00
_cell_angle_beta 90.00
_cell_angle_gamma 120.00
_symmetry_space_group_name_H-M 'R -3 m'
_symmetry_Int_Tables_number 166
_symmetry_space_group_name_Hall '-R 3 2"'
loop_
_atom_site_label
_atom_site_type_symbol
_atom_site_fract_x
_atom_site_fract_y
_atom_site_fract_z
Ba1 Ba 0.0000 0.0000 0.1145
Sr1 Sr 0.0000 0.0000 0.0000
Ge1 Ge 0.0000 0.0000 0.5000
# DOS(E_F): 15.6 states/eV per cell
# calculated formation energy: -1.8 kcal/mol of atoms
# E_tot: -2.62 eV per atom